Ho2ThMg2In2 | PBE-GGA | optimized geometry

Computed properties:
- Mass density: 7.3 Mg/m³
- Space group: R-3m (166)
- DFT total energy: -3.77 eV per atom
- N(E_F): 0.62 states/eV/atom

Cell lengths 5.0337, 5.0337, 9.1654 Å; angles 74.06, 74.06, 60.00 degrees
Closest atoms and distances in Å follow each position.
Positions (direct):
Ho1 0.1302 0.1302 0.6094  3 Mg 3.27, 4 In 3.28-3.42, 1 Th 3.40, 3 Ho 3.47
Ho2 0.8698 0.8698 0.3906  3 Mg 3.27, 4 In 3.28-3.42, 1 Th 3.40, 3 Ho 3.47
Th1 0.0000 0.0000 0.0000  2 Ho 3.40, 6 In 3.46, 6 Mg 3.47
Mg1 0.5937 0.5937 0.2190  3 In 2.91
Mg2 0.4063 0.4063 0.7810  3 In 2.91
In1 0.7386 0.7386 0.7843  3 Mg 2.91
In2 0.2614 0.2614 0.2157  3 Mg 2.91